Entry 1:
Material: Mn3CrSi
Method: DFT, PBE-GGA
State: optimized geometry

abc: 4.297 4.297 4.297
angles: 90.00 90.00 90.00
Element x y z (fractional)
Mn: 0.000 0.000 0.500
Mn: 0.000 0.500 0.000
Mn: 0.500 0.000 0.000
Cr: 0.000 0.000 0.000
Si: 0.500 0.500 0.500

Computed properties:
Symmetry: No. 221
E (eV for the cell shown): -37.4
Calculated density (g cm⁻³): 5.126
Formation energy from raw total energies (eV/atom): 1.02


Entry 2:
Material: SrZnSn4
Method: DFT, PBE-GGA
State: optimized geometry

abc: 6.263 6.263 6.263
angles: 60.00 60.00 60.00
Element x y z (fractional)
Sr: 0.000 0.000 0.000
Zn: 0.250 0.250 0.250
Sn: 0.127 0.624 0.624
Sn: 0.624 0.127 0.624
Sn: 0.624 0.624 0.127
Sn: 0.624 0.624 0.624

Computed properties:
Symmetry: No. 216
E (eV for the cell shown): -19.7
Calculated density (g cm⁻³): 6.001
ΔE_f (meV per atom): -116.2


Entry 3:
Material: Rb2Sn12Pt7
Method: DFT, PBE-GGA
State: optimized geometry

abc: 11.343 11.343 4.459
angles: 90.00 90.00 120.00
Element x y z (fractional)
Rb: 0.000 0.000 0.000
Rb: 0.333 0.667 0.500
Sn: 0.048 0.779 0.500
Sn: 0.112 0.416 0.000
Sn: 0.221 0.269 0.500
Sn: 0.303 0.888 0.000
Sn: 0.384 0.197 0.000
Sn: 0.553 0.113 0.500
Sn: 0.560 0.447 0.500
Sn: 0.584 0.697 0.000
Sn: 0.731 0.952 0.500
Sn: 0.803 0.187 0.000
Sn: 0.813 0.616 0.000
Sn: 0.887 0.440 0.500
Pt: 0.063 0.637 0.000
Pt: 0.279 0.031 0.500
Pt: 0.363 0.426 0.000
Pt: 0.574 0.937 0.000
Pt: 0.667 0.333 0.000
Pt: 0.752 0.721 0.500
Pt: 0.969 0.248 0.500

Computed properties:
Symmetry: No. 174
E (eV for the cell shown): -100.4
Calculated density (g cm⁻³): 9.897
ΔE_f (meV per atom): -388.0


Entry 4:
Material: ZrCo2Tc
Method: DFT, PBE-GGA
State: optimized geometry

abc: 2.775 2.775 7.309
angles: 90.00 90.00 90.00
Element x y z (fractional)
Zr: 0.000 0.000 0.000
Co: 0.500 0.500 0.275
Co: 0.500 0.500 0.725
Tc: 0.000 0.000 0.500

Computed properties:
Energy relative to the lowest polymorph listed for this composition (meV/atom): 62
Symmetry: No. 123
E (eV for the cell shown): -33.0
Calculated density (g cm⁻³): 9.063
ΔE_f (meV per atom): 34.1


Entry 5:
Material: Nd2Dy2Hg7
Method: DFT, PBE-GGA
State: optimized geometry

abc: 6.807 6.807 7.849
angles: 90.00 90.00 114.99
Element x y z (fractional)
Nd: 0.244 0.244 0.000
Nd: 0.756 0.756 0.000
Dy: 0.265 0.735 0.500
Dy: 0.735 0.265 0.500
Hg: 0.000 0.000 0.500
Hg: 0.000 0.500 0.189
Hg: 0.000 0.500 0.811
Hg: 0.500 0.000 0.189
Hg: 0.500 0.000 0.811
Hg: 0.500 0.500 0.313
Hg: 0.500 0.500 0.687

Computed properties:
Symmetry: No. 65
E (eV for the cell shown): -22.5
Calculated density (g cm⁻³): 10.165
ΔE_f (meV per atom): -151.8


Entry 6:
Material: CuPOsS
Method: DFT, PBE-GGA
State: optimized geometry

abc: 3.664 3.664 17.539
angles: 90.00 90.00 120.00
Element x y z (fractional)
Cu: 0.000 0.000 0.000
Cu: 0.333 0.667 0.667
Cu: 0.667 0.333 0.333
P: 0.000 0.000 0.852
P: 0.333 0.667 0.519
P: 0.667 0.333 0.185
Os: 0.000 0.000 0.568
Os: 0.333 0.667 0.235
Os: 0.667 0.333 0.902
S: 0.000 0.000 0.708
S: 0.333 0.667 0.375
S: 0.667 0.333 0.041

Computed properties:
Energy relative to the lowest polymorph listed for this composition (meV/atom): 58
Symmetry: No. 160
E (eV for the cell shown): -74.8
Calculated density (g cm⁻³): 7.740
Formation energy from raw total energies (eV/atom): -0.01


Question: Which value of calculated density does entry 4 give?
Answer: 9.063 g cm⁻³


What did the first record say?
Material: Mn3CrSi
Method: DFT, PBE-GGA
State: optimized geometry

abc: 4.297 4.297 4.297
angles: 90.00 90.00 90.00
Element x y z (fractional)
Mn: 0.000 0.000 0.500
Mn: 0.000 0.500 0.000
Mn: 0.500 0.000 0.000
Cr: 0.000 0.000 0.000
Si: 0.500 0.500 0.500

Computed properties:
Symmetry: No. 221
E (eV for the cell shown): -37.4
Calculated density (g cm⁻³): 5.126
Formation energy from raw total energies (eV/atom): 1.02